No. 1
! PBE ZrTl2V, relaxed; values from VASP
&SYSTEM
  ibrav = 0, nat = 4, ntyp = 3
/
ATOMIC_SPECIES
Tl 204.38 Tl.upf
Zr 91.22 Zr.upf
V 50.94 V.upf
CELL_PARAMETERS angstrom
2.854 2.305 3.313
-2.020 3.129 3.250
-0.270 -1.234 4.779
ATOMIC_POSITIONS angstrom
Tl 0.141 1.050 2.836
Tl 0.423 3.151 8.507
Zr 0.282 2.100 5.671
V 0.000 0.000 0.000
! space-group type: Fm-3m, No. 225
! N(E_F): 1.849 states/eV per cell
! offset from the most stable computed form: 0 meV per atom
! energy: -0.3873 Ry per atom
! energy of formation from the pure elements: 331 meV per atom

***

No. 2
! PBE ZrTl3V, relaxed; values from VASP
&SYSTEM
  ibrav = 0, nat = 5, ntyp = 3
/
ATOMIC_SPECIES
Tl 204.38 Tl.upf
Zr 91.22 Zr.upf
V 50.94 V.upf
CELL_PARAMETERS angstrom
5.147 0.000 0.000
0.000 5.147 0.000
0.000 0.000 5.147
ATOMIC_POSITIONS angstrom
Tl 0.000 2.574 0.000
Tl 0.000 0.000 2.574
Tl 2.574 0.000 0.000
Zr 2.574 2.574 2.574
V 0.000 0.000 0.000
! space-group type: Pm-3m, No. 221
! N(E_F): 6.865 states/eV per cell
! offset from the most stable computed form: 0 meV per atom
! energy: -0.2995 Ry per atom
! energy of formation from the pure elements: 879 meV per atom

***

No. 3
! PBE ZrTlV3, relaxed; values from VASP
&SYSTEM
  ibrav = 0, nat = 5, ntyp = 3
/
ATOMIC_SPECIES
Tl 204.38 Tl.upf
Zr 91.22 Zr.upf
V 50.94 V.upf
CELL_PARAMETERS angstrom
4.705 0.000 0.000
0.000 4.705 0.000
0.000 0.000 4.705
ATOMIC_POSITIONS angstrom
Tl 2.353 2.353 2.353
Zr 0.000 0.000 0.000
V 0.000 2.353 0.000
V 0.000 0.000 2.353
V 2.353 0.000 0.000
! space-group type: Pm-3m, No. 221
! N(E_F): 8.408 states/eV per cell
! offset from the most stable computed form: 0 meV per atom
! energy: -0.4488 Ry per atom
! energy of formation from the pure elements: 1547 meV per atom

***

No. 4
! PBE ZrTl2V, relaxed; values from VASP
&SYSTEM
  ibrav = 0, nat = 8, ntyp = 3
/
ATOMIC_SPECIES
Tl 204.38 Tl.upf
Zr 91.22 Zr.upf
V 50.94 V.upf
CELL_PARAMETERS angstrom
-6.950 -1.974 2.817
1.105 -7.295 -2.386
-1.662 -5.307 2.855
ATOMIC_POSITIONS angstrom
Tl -4.462 -3.427 2.111
Tl -0.753 -6.178 -0.361
Tl -3.413 -7.624 2.248
Tl -6.386 -11.924 2.572
Zr 0.000 0.000 0.000
Zr -5.767 -5.958 2.943
V -2.922 -4.635 0.215
V -1.739 -8.618 0.342
! space-group type: I-42d, No. 122
! N(E_F): 6.467 states/eV per cell
! offset from the most stable computed form: 201 meV per atom
! energy: -0.3725 Ry per atom
! energy of formation from the pure elements: 532 meV per atom

***

No. 5
! PBE Zr2TlV2, relaxed; values from VASP
&SYSTEM
  ibrav = 0, nat = 10, ntyp = 3
/
ATOMIC_SPECIES
Tl 204.38 Tl.upf
Zr 91.22 Zr.upf
V 50.94 V.upf
CELL_PARAMETERS angstrom
7.184 0.000 0.000
0.000 7.184 0.000
0.000 0.000 3.764
ATOMIC_POSITIONS angstrom
Tl 0.000 0.000 0.000
Tl 3.592 3.592 0.000
Zr 1.276 4.868 1.882
Zr 4.868 5.908 1.882
Zr 5.908 2.316 1.882
Zr 2.316 1.276 1.882
V 2.781 6.373 0.000
V 6.373 4.404 0.000
V 4.404 0.811 0.000
V 0.811 2.781 0.000
! space-group type: P4/mbm, No. 127
! N(E_F): 10.085 states/eV per cell
! energy: -0.5456 Ry per atom
! energy of formation from the pure elements: 116 meV per atom

***

No. 6
! PBE ZrTlV3, relaxed; values from VASP
&SYSTEM
  ibrav = 0, nat = 5, ntyp = 3
/
ATOMIC_SPECIES
Tl 204.38 Tl.upf
Zr 91.22 Zr.upf
V 50.94 V.upf
CELL_PARAMETERS angstrom
4.965 0.000 0.000
0.000 4.965 0.000
0.000 0.000 4.965
ATOMIC_POSITIONS angstrom
Tl 0.000 0.000 0.000
Zr 2.483 2.483 2.483
V 0.000 2.483 0.000
V 0.000 0.000 2.483
V 2.483 0.000 0.000
! space-group type: Pm-3m, No. 221
! N(E_F): 7.096 states/eV per cell
! offset from the most stable computed form: 167 meV per atom
! energy: -0.4365 Ry per atom
! energy of formation from the pure elements: 1715 meV per atom

***

Among the records above, which one has the lowest energy of formation from the pure elements?
Zr2TlV2

***

What did the fifth record say?
! PBE Zr2TlV2, relaxed; values from VASP
&SYSTEM
  ibrav = 0, nat = 10, ntyp = 3
/
ATOMIC_SPECIES
Tl 204.38 Tl.upf
Zr 91.22 Zr.upf
V 50.94 V.upf
CELL_PARAMETERS angstrom
7.184 0.000 0.000
0.000 7.184 0.000
0.000 0.000 3.764
ATOMIC_POSITIONS angstrom
Tl 0.000 0.000 0.000
Tl 3.592 3.592 0.000
Zr 1.276 4.868 1.882
Zr 4.868 5.908 1.882
Zr 5.908 2.316 1.882
Zr 2.316 1.276 1.882
V 2.781 6.373 0.000
V 6.373 4.404 0.000
V 4.404 0.811 0.000
V 0.811 2.781 0.000
! space-group type: P4/mbm, No. 127
! N(E_F): 10.085 states/eV per cell
! energy: -0.5456 Ry per atom
! energy of formation from the pure elements: 116 meV per atom